This record from OQMD describes ScGaFeW after structural relaxation. The functional is GGA-PBE.

a = 6.2312 Å, b = 6.2312 Å, c = 6.2312 Å
α = 90.00°, β = 90.00°, γ = 90.00°
With the nearest neighbours (Å) after each atom.
Space group F-43m (No. 216)
Asymmetric unit:
Sc1 0.0000 0.0000 0.0000  4 W 2.70, 4 Ga 2.70
Ga1 0.2500 0.2500 0.2500  4 Fe 2.70, 4 Sc 2.70
Fe1 0.0000 0.0000 0.5000  4 W 2.70, 4 Ga 2.70
W1 0.2500 0.2500 0.7500  4 Fe 2.70, 4 Sc 2.70


This record from OQMD describes ScZnGaFe after structural relaxation. The functional is GGA-PBE.

a = 6.1751 Å, b = 6.1751 Å, c = 6.1751 Å
α = 90.00°, β = 90.00°, γ = 90.00°
With the nearest neighbours (Å) after each atom.
Space group F-43m (No. 216)
Asymmetric unit:
Sc1 0.0000 0.0000 0.0000  4 Fe 2.67, 4 Zn 2.67
Zn1 0.2500 0.2500 0.2500  4 Ga 2.67, 4 Sc 2.67
Ga1 0.0000 0.0000 0.5000  4 Fe 2.67, 4 Zn 2.67
Fe1 0.2500 0.2500 0.7500  4 Sc 2.67, 4 Ga 2.67


This record from OQMD describes ScZnGaFe after structural relaxation. The functional is GGA-PBE.

a = 6.2835 Å, b = 6.2835 Å, c = 6.2835 Å
α = 90.00°, β = 90.00°, γ = 90.00°
With the nearest neighbours (Å) after each atom.
Space group F-43m (No. 216)
Asymmetric unit:
Sc1 0.0000 0.0000 0.0000  4 Fe 2.72, 4 Ga 2.72
Zn1 0.0000 0.0000 0.5000  4 Ga 2.72, 4 Fe 2.72
Ga1 0.2500 0.2500 0.2500  4 Sc 2.72, 4 Zn 2.72
Fe1 0.2500 0.2500 0.7500  4 Sc 2.72, 4 Zn 2.72


This record from OQMD describes ScZnGaFe after structural relaxation. The functional is GGA-PBE.

a = 6.2489 Å, b = 6.2489 Å, c = 6.2489 Å
α = 90.00°, β = 90.00°, γ = 90.00°
With the nearest neighbours (Å) after each atom.
Space group F-43m (No. 216)
Asymmetric unit:
Sc1 0.0000 0.0000 0.0000  4 Ga 2.71, 4 Zn 2.71
Zn1 0.2500 0.2500 0.2500  4 Sc 2.71, 4 Fe 2.71
Ga1 0.2500 0.2500 0.7500  4 Fe 2.71, 4 Sc 2.71
Fe1 0.0000 0.0000 0.5000  4 Zn 2.71, 4 Ga 2.71


This record from OQMD describes Ga2FeSi after structural relaxation. The functional is GGA-PBE.

a = 6.1915 Å, b = 6.1915 Å, c = 6.1915 Å
α = 90.00°, β = 90.00°, γ = 90.00°
With the nearest neighbours (Å) after each atom.
Space group F-43m (No. 216)
Asymmetric unit:
Ga1 0.0000 0.0000 0.0000  4 Si 2.68, 4 Ga 2.68
Ga2 0.2500 0.2500 0.2500  4 Fe 2.68, 4 Ga 2.68
Fe1 0.0000 0.0000 0.5000  4 Si 2.68, 4 Ga 2.68
Si1 0.2500 0.2500 0.7500  4 Fe 2.68, 4 Ga 2.68


This record from OQMD describes GaFeSi after structural relaxation. The functional is GGA-PBE.

a = 5.5887 Å, b = 5.5887 Å, c = 5.5887 Å
α = 90.00°, β = 90.00°, γ = 90.00°
With the nearest neighbours (Å) after each atom.
Space group F-43m (No. 216)
Asymmetric unit:
Ga1 0.0000 0.0000 0.0000  4 Si 2.42
Fe1 0.0000 0.0000 0.5000  4 Si 2.42
Si1 0.2500 0.2500 0.7500  4 Fe 2.42, 4 Ga 2.42


no.,V (Å³/atom),E (eV per atom)
1,15.12,-7.465
2,14.72,-4.866
3,15.51,-4.816
4,15.25,-4.959
5,14.83,-4.621
6,14.55,-5.411